(1)
First-principles (PBE) data for a geometry-optimized TcAsIr structure, as listed in Alexandria.

Summary:
DOS at the Fermi energy: 10.4 states/eV per cell
Magnetization: 0.00 μB/cell
Formation energy: -111 meV/atom
Relative energy among the computed polymorphs: 0.000 eV/atom

Geometry as POSCAR:
```
TcAsIr
1.0
-2.2426 -1.0291 1.2801
10.4143 -9.7540 10.4032
0.1583 3.2596 2.8977
Ir Tc As
4 4 4
Direct
0.0000 0.9100 0.2500
0.5000 0.5900 0.7500
0.0000 0.0900 0.7500
0.5000 0.4100 0.2500
0.5000 0.0413 0.2500
0.5000 0.9587 0.7500
0.0000 0.4587 0.7500
0.0000 0.5413 0.2500
0.5000 0.6694 0.2500
0.5000 0.3306 0.7500
0.0000 0.8306 0.7500
0.0000 0.1694 0.2500
```


(2)
First-principles (PBE) data for a geometry-optimized Tc2AsIr structure, as listed in Alexandria.

Summary:
DOS at the Fermi energy: 4.7 states/eV per cell
Magnetization: 0.00 μB/cell
Formation energy: 212 meV/atom

Geometry as POSCAR:
```
Tc2AsIr
1.0
-0.7350 2.7176 0.0785
-4.7057 -1.2896 0.5839
-2.7003 -0.8648 4.6550
Tc Ir As
2 1 1
Direct
0.0000 0.0000 0.0000
0.5000 0.5000 0.0000
0.0000 0.0000 0.5000
0.5000 0.5000 0.5000
```


(3)
First-principles (PBE) data for a geometry-optimized TcAsIr structure, as listed in Alexandria.

Summary:
DOS at the Fermi energy: 4.5 states/eV per cell
Magnetization: 0.00 μB/cell
Formation energy: 35 meV/atom
Relative energy among the computed polymorphs: 0.146 eV/atom

Geometry as POSCAR:
```
TcAsIr
1.0
2.8907 0.0000 0.0000
-1.4454 2.5038 0.0000
0.0000 0.0000 12.4785
As Ir Tc
2 2 2
Direct
0.1120 0.2240 0.1548
0.1120 0.2240 0.8452
0.7769 0.5538 0.3338
0.7769 0.5538 0.6662
0.4436 0.8872 0.5000
0.4451 0.8903 0.0000
```


(4)
First-principles (PBE) data for a geometry-optimized TcAsIr2 structure, as listed in Alexandria.

Summary:
DOS at the Fermi energy: 3.9 states/eV per cell
Magnetization: 0.00 μB/cell
Formation energy: 107 meV/atom

Geometry as POSCAR:
```
TcAsIr2
1.0
2.8755 0.0000 0.0000
0.0000 2.8755 0.0000
0.0000 0.0000 7.1515
Ir As Tc
2 1 1
Direct
0.0000 0.0000 0.9806
0.5000 0.5000 0.2643
0.5000 0.5000 0.7525
0.0000 0.0000 0.5026
```